(1)
# NaYPb | the Alexandria database | PBE | relaxed
data_NaYPb
_space_group_name_H-M_alt 'C 1 2/m 1'
_space_group_IT_number 12
_cell_length_a 17.571
_cell_length_b 5.122
_cell_length_c 3.878
_cell_angle_alpha 90.00
_cell_angle_beta 90.15
_cell_angle_gamma 90.00
loop_
_space_group_symop_operation_xyz
'x,y,z'
'-x,-y,-z'
'-x,y,-z'
'x,-y,z'
'x+1/2,y+1/2,z'
'-x+1/2,-y+1/2,-z'
'-x+1/2,y+1/2,-z'
'x+1/2,-y+1/2,z'
loop_
_atom_site_label
_atom_site_type_symbol
_atom_site_fract_x
_atom_site_fract_y
_atom_site_fract_z
_atom_site_occupancy
Na1 Na 0.000 0.000 0.000 1
Na2 Na 0.000 0.500 0.500 1
Y1 Y 0.177 0.000 0.500 1
Pb1 Pb 0.155 0.500 0.000 1
# Distance to the lowest polymorph of the same formula: 97 meV/atom
# Raw total energy: -49.3 eV per cell
# Calculated density: 6.1 g cm⁻³
# DFT formation energy: -279 meV per atom

(2)
# NaYPb2 | the Alexandria database | PBE | relaxed
data_NaYPb2
_space_group_name_H-M_alt 'I m m m'
_space_group_IT_number 71
_space_group_name_Hall '-I 2 2'
_cell_length_a 3.490
_cell_length_b 6.082
_cell_length_c 12.312
_cell_angle_alpha 90.00
_cell_angle_beta 90.00
_cell_angle_gamma 90.00
loop_
_atom_site_label
_atom_site_type_symbol
_atom_site_fract_x
_atom_site_fract_y
_atom_site_fract_z
_atom_site_occupancy
Na1 Na 0.000 0.000 0.000 1
Y1 Y 0.000 0.000 0.500 1
Pb1 Pb 0.000 0.000 0.241 1
# Raw total energy: -28.9 eV per cell
# Calculated density: 6.7 g cm⁻³
# DFT formation energy: 186 meV per atom

(3)
# NaYPb3 | the Alexandria database | PBE | relaxed
data_NaYPb3
_space_group_name_H-M_alt 'P m -3 m'
_space_group_IT_number 221
_space_group_name_Hall '-P 4 2 3'
_cell_length_a 5.926
_cell_length_b 5.926
_cell_length_c 5.926
_cell_angle_alpha 90.00
_cell_angle_beta 90.00
_cell_angle_gamma 90.00
loop_
_atom_site_label
_atom_site_type_symbol
_atom_site_fract_x
_atom_site_fract_y
_atom_site_fract_z
_atom_site_occupancy
Na1 Na 0.000 0.000 0.000 1
Y1 Y 0.500 0.500 0.500 1
Pb1 Pb 0.000 0.500 0.500 1
# Distance to the lowest polymorph of the same formula: 432 meV/atom
# Raw total energy: -17.9 eV per cell
# Calculated density: 5.9 g cm⁻³
# DFT formation energy: 206 meV per atom

(4)
# NaYPb | the Alexandria database | PBE | relaxed
data_NaYPb
_space_group_name_H-M_alt 'P m m 2'
_space_group_IT_number 25
_cell_length_a 3.514
_cell_length_b 4.589
_cell_length_c 11.099
_cell_angle_alpha 90.00
_cell_angle_beta 90.00
_cell_angle_gamma 90.00
loop_
_space_group_symop_operation_xyz
'x,y,z'
'-x,-y,z'
'-x,y,z'
'x,-y,z'
loop_
_atom_site_label
_atom_site_type_symbol
_atom_site_fract_x
_atom_site_fract_y
_atom_site_fract_z
_atom_site_occupancy
Na1 Na 0.000 0.000 0.000 1
Na2 Na 0.500 0.500 0.167 1
Y1 Y 0.500 0.500 0.484 1
Y2 Y 0.500 0.500 0.797 1
Pb1 Pb 0.000 0.000 0.338 1
Pb2 Pb 0.000 0.000 0.656 1
# Distance to the lowest polymorph of the same formula: 172 meV/atom
# Raw total energy: -24.2 eV per cell
# Calculated density: 5.9 g cm⁻³
# DFT formation energy: -204 meV per atom

(5)
# NaYPb | the Alexandria database | PBE | relaxed
data_NaYPb
_space_group_name_H-M_alt 'C 1 2/m 1'
_space_group_IT_number 12
_cell_length_a 11.345
_cell_length_b 3.556
_cell_length_c 9.371
_cell_angle_alpha 90.00
_cell_angle_beta 110.00
_cell_angle_gamma 90.00
loop_
_space_group_symop_operation_xyz
'x,y,z'
'-x,-y,-z'
'-x,y,-z'
'x,-y,z'
'x+1/2,y+1/2,z'
'-x+1/2,-y+1/2,-z'
'-x+1/2,y+1/2,-z'
'x+1/2,-y+1/2,z'
loop_
_atom_site_label
_atom_site_type_symbol
_atom_site_fract_x
_atom_site_fract_y
_atom_site_fract_z
_atom_site_occupancy
Na1 Na 0.140 0.000 0.038 1
Y1 Y 0.166 0.000 0.603 1
Pb1 Pb 0.035 0.500 0.279 1
# Distance to the lowest polymorph of the same formula: 143 meV/atom
# Raw total energy: -48.8 eV per cell
# Calculated density: 6.0 g cm⁻³
# DFT formation energy: -233 meV per atom

(6)
# NaYPb2 | the Alexandria database | PBE | relaxed
data_NaYPb2
_space_group_name_H-M_alt 'R 3 m'
_space_group_IT_number 160
_space_group_name_Hall 'R 3 -2"'
_cell_length_a 4.8976
_cell_length_b 4.8976
_cell_length_c 18.9089
_cell_angle_alpha 90.00
_cell_angle_beta 90.00
_cell_angle_gamma 120.00
loop_
_atom_site_label
_atom_site_type_symbol
_atom_site_fract_x
_atom_site_fract_y
_atom_site_fract_z
_atom_site_occupancy
Na1 Na 0.0000 0.0000 0.0000 1
Y1 Y 0.0000 0.0000 0.8119 1
Pb1 Pb 0.0000 0.0000 0.2353 1
Pb2 Pb 0.0000 0.0000 0.4064 1
# Raw total energy: -46.4 eV per cell
# Calculated density: 6.7 g cm⁻³
# DFT formation energy: -67 meV per atom

(7)
# NaYPb | the Alexandria database | PBE | relaxed
data_NaYPb
_space_group_name_H-M_alt 'P 3 m 1'
_space_group_IT_number 156
_cell_length_a 5.2607
_cell_length_b 5.2607
_cell_length_c 7.0849
_cell_angle_alpha 90.00
_cell_angle_beta 90.00
_cell_angle_gamma 120.00
loop_
_space_group_symop_operation_xyz
'x,y,z'
'-y,x-y,z'
'-x+y,-x,z'
'-y,-x,z'
'-x+y,y,z'
'x,x-y,z'
loop_
_atom_site_label
_atom_site_type_symbol
_atom_site_fract_x
_atom_site_fract_y
_atom_site_fract_z
_atom_site_occupancy
Na1 Na 0.0000 0.0000 0.0000 1
Na2 Na 0.3333 0.6667 0.8313 1
Y1 Y 0.3333 0.6667 0.3042 1
Y2 Y 0.6667 0.3333 0.6161 1
Pb1 Pb 0.0000 0.0000 0.5287 1
Pb2 Pb 0.6667 0.3333 0.1027 1
# Distance to the lowest polymorph of the same formula: 89 meV/atom
# Raw total energy: -24.7 eV per cell
# Calculated density: 6.2 g cm⁻³
# DFT formation energy: -287 meV per atom

(8)
# NaY2Pb3 | the Alexandria database | PBE | relaxed
data_NaY2Pb3
_space_group_name_H-M_alt 'P 4/m m m'
_space_group_IT_number 123
_space_group_name_Hall '-P 4 2'
_cell_length_a 3.945
_cell_length_b 3.945
_cell_length_c 11.131
_cell_angle_alpha 90.00
_cell_angle_beta 90.00
_cell_angle_gamma 90.00
loop_
_atom_site_label
_atom_site_type_symbol
_atom_site_fract_x
_atom_site_fract_y
_atom_site_fract_z
_atom_site_occupancy
Na1 Na 0.000 0.000 0.000 1
Y1 Y 0.000 0.000 0.332 1
Pb1 Pb 0.500 0.500 0.170 1
Pb2 Pb 0.500 0.500 0.500 1
# Raw total energy: -27.4 eV per cell
# Calculated density: 7.9 g cm⁻³
# DFT formation energy: -336 meV per atom

(9)
# NaYPb | the Alexandria database | PBE | relaxed
data_NaYPb
_space_group_name_H-M_alt 'P 63/m m c'
_space_group_IT_number 194
_space_group_name_Hall '-P 6c 2c'
_cell_length_a 5.4677
_cell_length_b 5.4677
_cell_length_c 6.5029
_cell_angle_alpha 90.00
_cell_angle_beta 90.00
_cell_angle_gamma 120.00
loop_
_atom_site_label
_atom_site_type_symbol
_atom_site_fract_x
_atom_site_fract_y
_atom_site_fract_z
_atom_site_occupancy
Na1 Na 0.0000 0.0000 0.0000 1
Y1 Y 0.3333 0.6667 0.2500 1
Pb1 Pb 0.3333 0.6667 0.7500 1
# Distance to the lowest polymorph of the same formula: 0 meV/atom
# Raw total energy: -25.2 eV per cell
# Calculated density: 6.3 g cm⁻³
# DFT formation energy: -376 meV per atom

(10)
# NaYPb | the Alexandria database | PBE | relaxed
data_NaYPb
_space_group_name_H-M_alt 'C 1 2/m 1'
_space_group_IT_number 12
_cell_length_a 9.149
_cell_length_b 5.257
_cell_length_c 8.578
_cell_angle_alpha 90.00
_cell_angle_beta 110.89
_cell_angle_gamma 90.00
loop_
_space_group_symop_operation_xyz
'x,y,z'
'-x,-y,-z'
'-x,y,-z'
'x,-y,z'
'x+1/2,y+1/2,z'
'-x+1/2,-y+1/2,-z'
'-x+1/2,y+1/2,-z'
'x+1/2,-y+1/2,z'
loop_
_atom_site_label
_atom_site_type_symbol
_atom_site_fract_x
_atom_site_fract_y
_atom_site_fract_z
_atom_site_occupancy
Na1 Na 0.206 0.000 0.123 1
Y1 Y 0.131 0.500 0.397 1
Pb1 Pb 0.070 0.000 0.704 1
# Distance to the lowest polymorph of the same formula: 215 meV/atom
# Raw total energy: -47.9 eV per cell
# Calculated density: 5.5 g cm⁻³
# DFT formation energy: -161 meV per atom

(11)
# Na5YPb6 | the Alexandria database | PBE | relaxed
data_Na5YPb6
_space_group_name_H-M_alt 'P 1 2/m 1'
_space_group_IT_number 10
_cell_length_a 4.871
_cell_length_b 9.667
_cell_length_c 7.648
_cell_angle_alpha 90.00
_cell_angle_beta 108.28
_cell_angle_gamma 90.00
loop_
_space_group_symop_operation_xyz
'x,y,z'
'-x,-y,-z'
'-x,y,-z'
'x,-y,z'
loop_
_atom_site_label
_atom_site_type_symbol
_atom_site_fract_x
_atom_site_fract_y
_atom_site_fract_z
_atom_site_occupancy
Na1 Na 0.000 0.000 0.000 1
Na2 Na 0.324 0.500 0.650 1
Na3 Na 0.333 0.000 0.665 1
Y1 Y 0.000 0.500 0.000 1
Pb1 Pb 0.165 0.252 0.328 1
Pb2 Pb 0.500 0.261 0.000 1
# Raw total energy: -37.6 eV per cell
# Calculated density: 7.0 g cm⁻³
# DFT formation energy: -189 meV per atom

(12)
# NaYPb | the Alexandria database | PBE | relaxed
data_NaYPb
_space_group_name_H-M_alt 'P 3 m 1'
_space_group_IT_number 156
_cell_length_a 5.2269
_cell_length_b 5.2269
_cell_length_c 3.5766
_cell_angle_alpha 90.00
_cell_angle_beta 90.00
_cell_angle_gamma 120.00
loop_
_space_group_symop_operation_xyz
'x,y,z'
'-y,x-y,z'
'-x+y,-x,z'
'-y,-x,z'
'-x+y,y,z'
'x,x-y,z'
loop_
_atom_site_label
_atom_site_type_symbol
_atom_site_fract_x
_atom_site_fract_y
_atom_site_fract_z
_atom_site_occupancy
Na1 Na 0.0000 0.0000 0.0000 1
Y1 Y 0.3333 0.6667 0.5555 1
Pb1 Pb 0.6667 0.3333 0.1693 1
# Distance to the lowest polymorph of the same formula: 189 meV/atom
# Raw total energy: -12.1 eV per cell
# Calculated density: 6.3 g cm⁻³
# DFT formation energy: -187 meV per atom

Number 1: density of states at the Fermi level 7.64 states/eV/cell, volume 349.04 Å³ per cell. Number 2: density of states at the Fermi level 3.59 states/eV/cell, volume 261.32 Å³ per cell. Number 3: density of states at the Fermi level 3.71 states/eV/cell, volume 208.05 Å³ per cell. Number 4: density of states at the Fermi level 3.37 states/eV/cell, volume 178.97 Å³ per cell. Number 5: density of states at the Fermi level 4.14 states/eV/cell, volume 355.28 Å³ per cell. Number 6: density of states at the Fermi level 11.79 states/eV/cell, volume 392.80 Å³ per cell. Number 7: density of states at the Fermi level 0.71 states/eV/cell, volume 169.80 Å³ per cell. Number 8: density of states at the Fermi level 3.33 states/eV/cell, volume 173.20 Å³ per cell. Number 9: density of states at the Fermi level 0.58 states/eV/cell, volume 168.40 Å³ per cell. Number 10: density of states at the Fermi level 8.75 states/eV/cell, volume 385.45 Å³ per cell. Number 11: density of states at the Fermi level 5.76 states/eV/cell, volume 341.92 Å³ per cell. Number 12: density of states at the Fermi level 1.24 states/eV/cell, volume 84.62 Å³ per cell.